A plane-wave DFT calculation with PBE-GGA was carried out for BeAs2Se after structural relaxation.

abc: 3.009 3.009 8.344
angles: 90.00 90.00 90.00
Sites, in units of the cell vectors:
1 As 0.500 0.500 0.316
2 As 0.000 0.000 0.022
3 Be 0.000 0.000 0.520
4 Se 0.500 0.500 0.642

Properties
Uncorrected formation energy in eV/f.u.: 1.6
Total DFT energy (no corrections) in eV per atom: -3.720
Energy above the most stable polymorph in this dataset in eV per atom: 0.697
Symmetry: P4mm